(1)
Here is a relaxed CoPtRh crystal from Alexandria. Energies are from PBE-GGA.

abc: 4.2805 4.2805 2.6854
angles: 90.00 90.00 120.00
Space group P-6m2 (No. 187)
Asymmetric unit:
Co: 0.0000 0.0000 0.0000 x1
Pt: 0.6667 0.3333 0.0000 x1
Rh: 0.3333 0.6667 0.5000 x1

ΔE to the lowest computed polymorph ... 0.121 eV/atom
Calculated formation energy ... 0.088 eV/atom



(2)
Here is a relaxed Co2Pt5Rh crystal from Alexandria. Energies are from PBE-GGA.

abc: 6.5654 6.5654 10.9495
angles: 90.00 90.00 90.00
Space group I4/mcm (No. 140)
Asymmetric unit:
Co: 0.1338 0.3662 0.0000 x8
Pt: 0.0000 0.0000 0.0000 x4
Pt: 0.1564 0.3436 0.3457 x16
Rh: 0.0000 0.0000 0.2500 x4

Calculated formation energy ... 0.141 eV/atom



Question: calculated formation energy of number 1 (CoPtRh)?
Answer: 0.088 eV/atom



Question: Which value of calculated formation energy does entry 1 give?
Answer: 0.088 eV/atom



Question: Which formula does entry 1 have?
Answer: CoPtRh